# 1
First-principles (GGA-PBE) data for a relaxed structure of NbP3I, as listed in Alexandria via LeMat-Bulk.

As for the crystal system: cubic. The uncorrected formation energy is 1.86 eV/atom.

The space group is Pm-3m (No. 221) and the conventional cell measures 4.914, 4.914 and 4.914 Å, with angles of 90.00, 90.00 and 90.00 degrees. The inequivalent atoms are Nb at (0.000, 0.000, 0.000), P at (0.000, 0.500, 0.500) and I at (0.500, 0.500, 0.500).

---

# 2
First-principles (GGA-PBE) data for a relaxed structure of PmSm2Pb, as listed in Alexandria via LeMat-Bulk.

The calculation puts the formation energy at 4.0 kJ/mol of atoms. As for the crystal system: trigonal.

The space group is R-3m (No. 166, hexagonal axes) and the conventional cell measures 3.5981, 3.5981 and 36.8534 Å, with angles of 90.00, 90.00 and 120.00 degrees. The inequivalent atoms are Pm at (0.0000, 0.0000, 0.0000), Sm at (0.0000, 0.0000, 0.4125) and Pb at (0.0000, 0.0000, 0.5000).

---

# 3
First-principles (GGA-PBE) data for a relaxed structure of TaRhCl2, as listed in Alexandria via LeMat-Bulk.

As for the crystal system: orthorhombic. The uncorrected formation energy is 0.25 eV/atom.

The space group is Pmmm (No. 47) and the conventional cell measures 2.919, 4.315 and 5.285 Å, with angles of 90.00, 90.00 and 90.00 degrees. The inequivalent atoms are Ta at (0.000, 0.000, 0.000), Rh at (0.500, 0.000, 0.500), Cl at (0.000, 0.500, 0.500) and Cl at (0.500, 0.500, 0.000).

---

# 4
First-principles (GGA-PBE) data for a relaxed structure of SiOs2Pb, as listed in Alexandria via LeMat-Bulk.

As for the crystal system: trigonal. The uncorrected formation energy is 0.60 eV/atom.

The space group is R3m (No. 160, hexagonal axes) and the conventional cell measures 2.9187, 2.9187 and 30.4519 Å, with angles of 90.00, 90.00 and 120.00 degrees. The inequivalent atoms are Si at (0.0000, 0.0000, 0.0000), Os at (0.0000, 0.0000, 0.4643), Os at (0.0000, 0.0000, 0.7308) and Pb at (0.0000, 0.0000, 0.2174).

---

# 5
First-principles (GGA-PBE) data for a relaxed structure of MnCoReCSBr, as listed in Alexandria via LeMat-Bulk.

As for the crystal system: monoclinic. The uncorrected formation energy is -0.05 eV/atom.

The space group is Cm (No. 8) and the conventional cell measures 6.068, 3.502 and 9.944 Å, with angles of 90.00, 101.52 and 90.00 degrees. The inequivalent atoms are Mn at (0.000, 0.000, 0.000), Co at (0.289, 0.500, 0.375), Re at (0.398, 0.000, 0.197), C at (0.223, 0.500, 0.173), S at (0.145, 0.000, 0.443) and Br at (0.111, 0.500, 0.830).

---

# 6
First-principles (GGA-PBE) data for a relaxed structure of KRb2RuO6, as listed in Alexandria via LeMat-Bulk.

As for the crystal system: trigonal. The uncorrected formation energy is -0.93 eV/atom.

The space group is P-3m1 (No. 164) and the conventional cell measures 6.3353, 6.3353 and 6.6839 Å, with angles of 90.00, 90.00 and 120.00 degrees. The inequivalent atoms are K at (0.0000, 0.0000, 0.0000), Rb at (0.3333, 0.6667, 0.6247), Ru at (0.0000, 0.0000, 0.5000) and O at (0.1391, 0.2782, 0.3366).

---

# 7
First-principles (GGA-PBE) data for a relaxed structure of Mg2TaAg, as listed in Alexandria via LeMat-Bulk.

The calculation puts the formation energy at 24.0 kJ/mol of atoms. As for the crystal system: orthorhombic.

The space group is Pmmm (No. 47) and the conventional cell measures 2.872, 4.174 and 6.282 Å, with angles of 90.00, 90.00 and 90.00 degrees. The inequivalent atoms are Mg at (0.000, 0.000, 0.242), Ta at (0.500, 0.500, 0.500) and Ag at (0.500, 0.500, 0.000).

---

# 8
First-principles (GGA-PBE) data for a relaxed structure of Ca3Ac, as listed in Alexandria via LeMat-Bulk.

The calculation puts the formation energy at 0.8 kJ/mol of atoms. As for the crystal system: tetragonal.

The space group is P4/nmm (No. 129, origin choice 2) and the conventional cell measures 3.960, 3.960 and 22.032 Å, with angles of 90.00, 90.00 and 90.00 degrees. The inequivalent atoms are Ca at (0.250, 0.250, 0.062), Ca at (0.250, 0.250, 0.308), Ca at (0.250, 0.250, 0.816) and Ac at (0.250, 0.250, 0.561).

---

# 9
First-principles (GGA-PBE) data for a relaxed structure of Ni6RuPt5, as listed in Alexandria via LeMat-Bulk.

The calculation puts the formation energy at -4.6 kJ/mol of atoms. As for the crystal system: orthorhombic.

The space group is Immm (No. 71) and the conventional cell measures 3.837, 7.216 and 11.483 Å, with angles of 90.00, 90.00 and 90.00 degrees. The inequivalent atoms are Ni at (0.000, 0.246, 0.000), Ni at (0.000, 0.252, 0.335), Ru at (0.000, 0.500, 0.500), Pt at (0.000, 0.000, 0.164), Pt at (0.000, 0.000, 0.500) and Pt at (0.000, 0.500, 0.166).

---

# 10
First-principles (GGA-PBE) data for a relaxed structure of TbTeCl, as listed in Alexandria via LeMat-Bulk.

As for the crystal system: tetragonal. The uncorrected formation energy is -1.42 eV/atom.

The space group is I4mm (No. 107) and the conventional cell measures 3.687, 3.687 and 13.865 Å, with angles of 90.00, 90.00 and 90.00 degrees. The inequivalent atoms are Tb at (0.000, 0.000, 0.000), Te at (0.000, 0.000, 0.376) and Cl at (0.000, 0.000, 0.621).

---

# 11
First-principles (GGA-PBE) data for a relaxed structure of ZrTlCl2, as listed in Alexandria via LeMat-Bulk.

As for the crystal system: cubic. The uncorrected formation energy is -0.32 eV/atom.

The space group is Fm-3m (No. 225) and the conventional cell measures 7.065, 7.065 and 7.065 Å, with angles of 90.00, 90.00 and 90.00 degrees. The inequivalent atoms are Zr at (0.000, 0.000, 0.000), Tl at (0.000, 0.000, 0.500) and Cl at (0.250, 0.250, 0.250).

---

# 12
First-principles (GGA-PBE) data for a relaxed structure of TlP, as listed in Alexandria via LeMat-Bulk.

The calculation puts the formation energy at 15.1 kJ/mol of atoms. As for the crystal system: orthorhombic.

The space group is Pmma (No. 51) and the conventional cell measures 3.968, 4.414 and 6.651 Å, with angles of 90.00, 90.00 and 90.00 degrees. The inequivalent atoms are Tl at (0.250, 0.000, 0.239) and P at (0.250, 0.500, 0.588).